# 1
! In12Sb3I5 PBE optimized geometry; values from VASP
! Raw total energy in eV per cell: -212.08
! Space group: Ia-3d
! Total magnetization in μB/f.u.: 0.0
! Formation energy from raw total energies in eV per formula unit: -0.04
&SYSTEM
  ibrav = 0, nat = 80, ntyp = 3
/
ATOMIC_SPECIES
In 114.82 In.upf
Sb 121.76 Sb.upf
I 126.90 I.upf
CELL_PARAMETERS angstrom
-9.530 9.530 9.530
9.530 -9.530 9.530
9.530 9.530 -9.530
ATOMIC_POSITIONS crystal
In 0.071 0.730 0.657
In 0.071 0.841 0.414
In 0.073 0.230 0.159
In 0.073 0.343 0.914
In 0.086 0.659 0.429
In 0.086 0.927 0.657
In 0.157 0.230 0.571
In 0.157 0.427 0.586
In 0.159 0.073 0.230
In 0.159 0.586 0.929
In 0.230 0.159 0.073
In 0.230 0.571 0.157
In 0.270 0.343 0.929
In 0.270 0.427 0.341
In 0.341 0.270 0.427
In 0.341 0.571 0.914
In 0.343 0.914 0.073
In 0.343 0.929 0.270
In 0.414 0.071 0.841
In 0.414 0.843 0.573
In 0.427 0.341 0.270
In 0.427 0.586 0.157
In 0.429 0.086 0.659
In 0.429 0.843 0.770
In 0.571 0.157 0.230
In 0.571 0.914 0.341
In 0.573 0.414 0.843
In 0.573 0.659 0.730
In 0.586 0.157 0.427
In 0.586 0.929 0.159
In 0.657 0.071 0.730
In 0.657 0.086 0.927
In 0.659 0.429 0.086
In 0.659 0.730 0.573
In 0.730 0.573 0.659
In 0.730 0.657 0.071
In 0.770 0.429 0.843
In 0.770 0.841 0.927
In 0.841 0.414 0.071
In 0.841 0.927 0.770
In 0.843 0.573 0.414
In 0.843 0.770 0.429
In 0.914 0.073 0.343
In 0.914 0.341 0.571
In 0.927 0.657 0.086
In 0.927 0.770 0.841
In 0.929 0.159 0.586
In 0.929 0.270 0.343
Sb 0.125 0.250 0.375
Sb 0.125 0.375 0.750
Sb 0.250 0.375 0.125
Sb 0.250 0.875 0.625
Sb 0.375 0.125 0.250
Sb 0.375 0.750 0.125
Sb 0.625 0.250 0.875
Sb 0.625 0.875 0.750
Sb 0.750 0.125 0.375
Sb 0.750 0.625 0.875
Sb 0.875 0.625 0.250
Sb 0.875 0.750 0.625
I 0.000 0.000 0.000
I 0.000 0.000 0.500
I 0.000 0.500 0.000
I 0.000 0.500 0.500
I 0.125 0.750 0.875
I 0.125 0.875 0.250
I 0.250 0.125 0.875
I 0.250 0.625 0.375
I 0.375 0.250 0.625
I 0.375 0.625 0.750
I 0.500 0.000 0.000
I 0.500 0.000 0.500
I 0.500 0.500 0.000
I 0.500 0.500 0.500
I 0.625 0.375 0.250
I 0.625 0.750 0.375
I 0.750 0.375 0.625
I 0.750 0.875 0.125
I 0.875 0.125 0.750
I 0.875 0.250 0.125

***

# 2
! HfCrMo PBE optimized geometry; values from VASP
! Distance to the lowest polymorph of the same formula in meV per atom: 341
! Raw total energy in eV per cell: -59.56
! Space group: Fmmm
! Total magnetization in μB/f.u.: 0.0
! ΔE_f in eV/atom: 0.2098
&SYSTEM
  ibrav = 0, nat = 6, ntyp = 3
/
ATOMIC_SPECIES
Hf 178.49 Hf.upf
Cr 52.00 Cr.upf
Mo 95.94 Mo.upf
CELL_PARAMETERS angstrom
0.000 4.262 4.524
2.583 0.000 4.524
2.583 4.262 0.000
ATOMIC_POSITIONS crystal
Hf 0.169 0.831 0.169
Hf 0.831 0.169 0.831
Cr 0.250 0.250 0.250
Cr 0.750 0.750 0.750
Mo 0.339 0.339 0.661
Mo 0.661 0.661 0.339

***

# 3
! ZnCoAs2 PBE optimized geometry; values from VASP
! Raw total energy in eV per cell: -17.04
! Space group: R3m
! Total magnetization in μB/f.u.: 0.2
! ΔE_f in eV/atom: 0.1591
&SYSTEM
  ibrav = 0, nat = 4, ntyp = 3
/
ATOMIC_SPECIES
Zn 65.41 Zn.upf
Co 58.93 Co.upf
As 74.92 As.upf
CELL_PARAMETERS angstrom
1.501 0.867 8.279
-1.501 0.867 8.279
0.000 -1.734 8.279
ATOMIC_POSITIONS crystal
Zn 0.000 0.000 0.000
Co 0.257 0.257 0.257
As 0.529 0.529 0.529
As 0.757 0.757 0.757

***

# 4
! CuIrCl PBE optimized geometry; values from VASP
! Distance to the lowest polymorph of the same formula in meV per atom: 6
! Raw total energy in eV per cell: -13.30
! Space group: P3m1
! Total magnetization in μB/f.u.: 0.0
! Formation energy from raw total energies in eV per formula unit: 1.50
&SYSTEM
  ibrav = 0, nat = 3, ntyp = 3
/
ATOMIC_SPECIES
Cu 63.55 Cu.upf
Ir 192.22 Ir.upf
Cl 35.45 Cl.upf
CELL_PARAMETERS angstrom
2.961 0.000 0.000
-1.481 2.565 0.000
0.000 0.000 5.878
ATOMIC_POSITIONS crystal
Cu 0.000 0.000 0.000
Ir 0.333 0.667 0.326
Cl 0.667 0.333 0.692

***

# 5
! LiLuGaPd PBE optimized geometry; values from VASP
! Raw total energy in eV per cell: -17.19
! Space group: F-43m
! Total magnetization in μB/f.u.: 0.0
! ΔE_f in eV/atom: -0.6335
&SYSTEM
  ibrav = 0, nat = 4, ntyp = 4
/
ATOMIC_SPECIES
Li 6.94 Li.upf
Lu 174.97 Lu.upf
Ga 69.72 Ga.upf
Pd 106.42 Pd.upf
CELL_PARAMETERS angstrom
0.000 3.254 3.254
3.254 0.000 3.254
3.254 3.254 0.000
ATOMIC_POSITIONS crystal
Li 0.000 0.000 0.000
Lu 0.250 0.250 0.250
Ga 0.750 0.750 0.750
Pd 0.500 0.500 0.500

***

# 6
! BaScPb2 PBE optimized geometry; values from VASP
! Raw total energy in eV per cell: -17.01
! Space group: Amm2
! Total magnetization in μB/f.u.: 0.0
! ΔE_f in eV/atom: -0.3352
&SYSTEM
  ibrav = 0, nat = 4, ntyp = 3
/
ATOMIC_SPECIES
Ba 137.33 Ba.upf
Sc 44.96 Sc.upf
Pb 207.20 Pb.upf
CELL_PARAMETERS angstrom
4.473 0.000 0.000
0.000 1.798 8.040
0.000 -1.798 8.040
ATOMIC_POSITIONS crystal
Ba 0.000 0.000 0.000
Sc 0.000 0.240 0.240
Pb 0.500 0.636 0.636
Pb 0.500 0.831 0.831

***

# 7
! Tl6HgSb4 PBE optimized geometry; values from VASP
! Raw total energy in eV per cell: -30.69
! Space group: I-42m
! Total magnetization in μB/f.u.: 0.0
! Formation energy from raw total energies in eV per formula unit: 0.30
&SYSTEM
  ibrav = 0, nat = 11, ntyp = 3
/
ATOMIC_SPECIES
Tl 204.38 Tl.upf
Hg 200.59 Hg.upf
Sb 121.76 Sb.upf
CELL_PARAMETERS angstrom
-3.243 3.243 8.453
3.243 -3.243 8.453
3.243 3.243 -8.453
ATOMIC_POSITIONS crystal
Tl 0.000 0.500 0.500
Tl 0.130 0.130 0.624
Tl 0.494 0.870 0.000
Tl 0.500 0.000 0.500
Tl 0.506 0.506 0.376
Tl 0.870 0.494 0.000
Hg 0.500 0.500 0.000
Sb 0.030 0.712 0.000
Sb 0.288 0.288 0.318
Sb 0.712 0.030 0.000
Sb 0.970 0.970 0.682

***

# 8
! CdSi2P PBE optimized geometry; values from VASP
! Distance to the lowest polymorph of the same formula in meV per atom: 211
! Raw total energy in eV per cell: -32.23
! Space group: I-42d
! Total magnetization in μB/f.u.: 0.0
! Formation energy from raw total energies in eV per formula unit: 1.05
&SYSTEM
  ibrav = 0, nat = 8, ntyp = 3
/
ATOMIC_SPECIES
Cd 112.41 Cd.upf
Si 28.09 Si.upf
P 30.97 P.upf
CELL_PARAMETERS angstrom
-2.907 2.907 5.371
2.907 -2.907 5.371
2.907 2.907 -5.371
ATOMIC_POSITIONS crystal
Cd 0.000 0.000 0.000
Cd 0.750 0.250 0.500
Si 0.165 0.625 0.040
Si 0.375 0.415 0.540
Si 0.585 0.125 0.960
Si 0.875 0.835 0.460
P 0.250 0.750 0.500
P 0.500 0.500 0.000